# GGA-PBE Ce3ErGa4, optimized geometry
data_Ce3ErGa4
_symmetry_space_group_name_H-M 'P 4/m m m'
_symmetry_Int_Tables_number 123
_symmetry_space_group_name_Hall '-P 4 2'
_cell_length_a 3.3289
_cell_length_b 3.3289
_cell_length_c 16.4946
_cell_angle_alpha 90.00
_cell_angle_beta 90.00
_cell_angle_gamma 90.00
loop_
_atom_site_label
_atom_site_fract_x
_atom_site_fract_y
_atom_site_fract_z
Ce1 0.0000 0.0000 0.0000
Ce2 0.0000 0.0000 0.2558
Er1 0.0000 0.0000 0.5000
Ga1 0.5000 0.5000 0.1276
Ga2 0.5000 0.5000 0.3816
# total magnetic moment	0.3	μB/f.u.
# energy of formation	-0.51	eV/atom
# E	-4.818	eV/atom

=====

# GGA-PBE Zn3CoN, optimized geometry
data_Zn3CoN
_symmetry_space_group_name_H-M 'P m -3 m'
_symmetry_Int_Tables_number 221
_symmetry_space_group_name_Hall '-P 4 2 3'
_cell_length_a 4.0670
_cell_length_b 4.0670
_cell_length_c 4.0670
_cell_angle_alpha 90.00
_cell_angle_beta 90.00
_cell_angle_gamma 90.00
loop_
_atom_site_label
_atom_site_fract_x
_atom_site_fract_y
_atom_site_fract_z
Zn1 0.0000 0.0000 0.5000
Co1 0.5000 0.5000 0.5000
N1 0.0000 0.0000 0.0000
# total magnetic moment	0.8	μB/f.u.
# formation energy (no corrections)	0.5887	eV per atom
# E	-3.262	eV/atom

=====

# GGA-PBE Pm2OsRu, optimized geometry
data_Pm2OsRu
_symmetry_space_group_name_H-M 'P 4/m m m'
_symmetry_Int_Tables_number 123
_symmetry_space_group_name_Hall '-P 4 2'
_cell_length_a 3.4901
_cell_length_b 3.4901
_cell_length_c 6.9894
_cell_angle_alpha 90.00
_cell_angle_beta 90.00
_cell_angle_gamma 90.00
loop_
_atom_site_label
_atom_site_fract_x
_atom_site_fract_y
_atom_site_fract_z
Pm1 0.0000 0.0000 0.2494
Os1 0.5000 0.5000 0.0000
Ru1 0.5000 0.5000 0.5000
# total magnetic moment	0.0	μB/f.u.
# energy of formation	0.04	eV/atom
# E	-7.458	eV/atom